No. 1
Here is an optimized crystal structure of TmGaNO from OQMD via LeMat-Bulk. Energies are from PBE.

Geometry as POSCAR:
```
TmGaNO
1.0
3.827 0.000 0.000
0.000 3.827 0.000
0.000 0.000 7.528
Tm Ga N O
2 2 2 2
Direct
0.250 0.250 0.141
0.750 0.750 0.859
0.250 0.750 0.500
0.750 0.250 0.500
0.250 0.250 0.637
0.750 0.750 0.363
0.250 0.750 0.000
0.750 0.250 0.000
```

Output
mass density: 8.09 g cm⁻³
size of the total moment: 0.00 μB per formula unit
crystal system: tetragonal
space group: P4/nmm, No. 129
excess energy over the best structure of this formula in the dataset: 0.1809 eV/atom


No. 2
Here is an optimized crystal structure of PuFeMo from OQMD via LeMat-Bulk. Energies are from PBE.

Geometry as POSCAR:
```
PuFeMo
1.0
0.000 2.970 2.970
2.970 0.000 2.970
2.970 2.970 0.000
Pu Fe Mo
1 1 1
Direct
0.000 0.000 0.000
0.750 0.750 0.750
0.250 0.250 0.250
```

Output
mass density: 12.54 g cm⁻³
size of the total moment: 0.01 μB per formula unit
crystal system: cubic
E_form: 1.166 eV per atom
space group: F-43m, No. 216
excess energy over the best structure of this formula in the dataset: 0.3084 eV/atom


No. 3
Here is an optimized crystal structure of ScCuBPt from OQMD via LeMat-Bulk. Energies are from PBE.

Geometry as POSCAR:
```
ScCuBPt
1.0
0.000 3.037 3.037
3.037 0.000 3.037
3.037 3.037 0.000
Sc Cu B Pt
1 1 1 1
Direct
0.000 0.000 0.000
0.500 0.500 0.500
0.250 0.250 0.250
0.750 0.750 0.750
```

Output
mass density: 9.31 g cm⁻³
size of the total moment: 0.00 μB per formula unit
crystal system: cubic
space group: F-43m, No. 216
excess energy over the best structure of this formula in the dataset: 0.0262 eV/atom


No. 4
Here is an optimized crystal structure of YTmAg2O4 from OQMD via LeMat-Bulk. Energies are from PBE.

Geometry as POSCAR:
```
YTmAg2O4
1.0
3.455 0.000 0.000
-1.728 2.992 0.000
0.000 0.000 12.488
Y Tm Ag O
1 1 2 4
Direct
0.000 0.000 0.000
0.000 0.000 0.500
0.333 0.667 0.252
0.667 0.333 0.748
0.333 0.667 0.086
0.333 0.667 0.418
0.667 0.333 0.582
0.667 0.333 0.914
```

Output
total DFT energy (no corrections): -0.503 Ry per atom
mass density: 6.91 g cm⁻³
size of the total moment: 0.00 μB per formula unit
crystal system: trigonal
space group: P-3m1, No. 164


No. 5
Here is an optimized crystal structure of Ho3Ga2NiGe3 from OQMD via LeMat-Bulk. Energies are from PBE.

Geometry as POSCAR:
```
Ho3Ga2NiGe3
1.0
6.990 0.000 0.000
-3.495 6.054 0.000
0.000 0.000 4.123
Ho Ga Ni Ge
3 2 1 3
Direct
0.000 0.611 0.000
0.389 0.389 0.000
0.611 0.000 0.000
0.333 0.667 0.500
0.667 0.333 0.500
0.000 0.000 0.000
0.000 0.243 0.500
0.243 0.000 0.500
0.757 0.757 0.500
```

Output
total DFT energy (no corrections): -0.365 Ry per atom
mass density: 8.67 g cm⁻³
size of the total moment: 0.00 μB per formula unit
crystal system: hexagonal
space group: P-62m, No. 189


No. 6
Here is an optimized crystal structure of ErTmGe4Os2 from OQMD via LeMat-Bulk. Energies are from PBE.

Geometry as POSCAR:
```
ErTmGe4Os2
1.0
4.427 0.000 0.000
0.000 4.455 0.000
-2.163 0.000 7.955
Er Tm Ge Os
1 1 4 2
Direct
0.000 0.000 0.000
0.748 0.500 0.581
0.053 0.500 0.303
0.337 0.000 0.706
0.412 0.500 0.875
0.699 0.000 0.279
0.275 0.000 0.408
0.477 0.500 0.174
```

Output
total DFT energy (no corrections): -0.490 Ry per atom
mass density: 10.66 g cm⁻³
size of the total moment: 0.01 μB per formula unit
crystal system: monoclinic
space group: Pm, No. 6